*w*
DFT (PBE) results for a relaxed structure of MoHAu.

## Properties
Crystal system: orthorhombic

Cell: 5.609 3.477 8.756 Å, 90.00 90.00 90.00°
Element x y z (fractional)
Mo  0.623  0.750  0.564
Mo  0.377  0.250  0.436
Mo  0.877  0.250  0.064
H  0.508  0.250  0.634
Au  0.098  0.750  0.628
H  0.492  0.750  0.366
Mo  0.123  0.750  0.936
Au  0.402  0.250  0.128
H  0.992  0.750  0.134
Au  0.598  0.750  0.872
Au  0.902  0.250  0.372
H  0.008  0.250  0.866



*x*
DFT (PBE) results for a relaxed structure of MoHAu.

## Properties
Crystal system: orthorhombic

Cell: 6.413 3.330 7.339 Å, 90.00 90.00 90.00°
Element x y z (fractional)
H  0.850  0.250  0.410
H  0.150  0.750  0.590
H  0.350  0.250  0.090
Au  0.494  0.250  0.660
Au  0.994  0.250  0.840
Mo  0.637  0.250  0.046
Au  0.006  0.750  0.160
H  0.650  0.750  0.910
Mo  0.363  0.750  0.954
Au  0.506  0.750  0.340
Mo  0.137  0.250  0.454
Mo  0.863  0.750  0.546



Winner for stability: *x*



*w*
DFT (PBE) results for a relaxed structure of MoH2Au.

## Properties
Crystal system: cubic

Cell: 3.893 3.893 3.893 Å, 60.00 60.00 60.00°
Element x y z (fractional)
H  0.750  0.750  0.750
H  0.250  0.250  0.250
Au  0.500  0.500  0.500
Mo  0.000  0.000  0.000



*x*
DFT (PBE) results for a relaxed structure of MoH2Au.

## Properties
Crystal system: tetragonal

Cell: 4.421 4.421 5.279 Å, 65.24 65.24 90.00°
Element x y z (fractional)
Au  0.000  0.000  0.000
Au  0.750  0.250  0.500
H  0.158  0.625  0.250
Mo  0.250  0.750  0.500
H  0.592  0.125  0.250
H  0.875  0.842  0.750
Mo  0.500  0.500  0.000
H  0.375  0.408  0.750



Winner for stability: *x*